# 1
Material: Ca2GeAu2
Method: DFT, PBE
State: optimized geometry

```
data_Ca2GeAu2
_cell_length_a 10.920
_cell_length_b 4.426
_cell_length_c 11.041
_cell_angle_alpha 90.00
_cell_angle_beta 116.68
_cell_angle_gamma 90.00
_symmetry_space_group_name_H-M 'C 1 2/m 1'
_symmetry_Int_Tables_number 12
loop_
_symmetry_equiv_pos_as_xyz
'x,y,z'
'-x,-y,-z'
'-x,y,-z'
'x,-y,z'
'x+1/2,y+1/2,z'
'-x+1/2,-y+1/2,-z'
'-x+1/2,y+1/2,-z'
'x+1/2,-y+1/2,z'
loop_
_atom_site_label
_atom_site_fract_x
_atom_site_fract_y
_atom_site_fract_z
Ca1 0.010 0.000 0.341
Ca2 0.191 0.000 0.110
Ge1 0.217 0.500 0.345
Au1 0.025 0.500 0.884
Au2 0.150 0.500 0.567
```

Properties
Total energy   -3.723 eV per atom
Size of the total moment   0.00 μB/cell

***

# 2
Material: CsYCl4
Method: DFT, PBE
State: optimized geometry

```
data_CsYCl4
_cell_length_a 15.553
_cell_length_b 7.629
_cell_length_c 7.166
_cell_angle_alpha 90.00
_cell_angle_beta 94.99
_cell_angle_gamma 90.00
_symmetry_space_group_name_H-M 'C 1 2/m 1'
_symmetry_Int_Tables_number 12
loop_
_symmetry_equiv_pos_as_xyz
'x,y,z'
'-x,-y,-z'
'-x,y,-z'
'x,-y,z'
'x+1/2,y+1/2,z'
'-x+1/2,-y+1/2,-z'
'-x+1/2,y+1/2,-z'
'x+1/2,-y+1/2,z'
loop_
_atom_site_label
_atom_site_fract_x
_atom_site_fract_y
_atom_site_fract_z
Cs1 0.205 0.000 0.255
Y1 0.034 0.500 0.279
Cl1 0.000 0.265 0.000
Cl2 0.098 0.291 0.573
Cl3 0.191 0.500 0.182
```

Properties
ΔE to the lowest computed polymorph   0 meV per atom
Size of the total moment   0.00 μB/cell

***

# 3
Material: Rb2TaBe2O6
Method: DFT, PBE
State: optimized geometry

```
data_Rb2TaBe2O6
_cell_length_a 5.4931
_cell_length_b 5.4931
_cell_length_c 18.4889
_cell_angle_alpha 90.00
_cell_angle_beta 90.00
_cell_angle_gamma 120.00
_symmetry_space_group_name_H-M 'R -3 m'
_symmetry_Int_Tables_number 166
_symmetry_space_group_name_Hall '-R 3 2"'
loop_
_atom_site_label
_atom_site_fract_x
_atom_site_fract_y
_atom_site_fract_z
Rb1 0.0000 0.0000 0.2103
Ta1 0.0000 0.0000 0.0000
Be1 0.0000 0.0000 0.3957
O1 0.0090 0.5045 0.2703
```

Properties
Total energy   -6.927 eV per atom
Size of the total moment   1.98 μB/cell

***

# 4
Material: Mg2TaCo
Method: DFT, PBE
State: optimized geometry

```
data_Mg2TaCo
_cell_length_a 2.8713
_cell_length_b 2.8713
_cell_length_c 28.5876
_cell_angle_alpha 90.00
_cell_angle_beta 90.00
_cell_angle_gamma 120.00
_symmetry_space_group_name_H-M 'R -3 m'
_symmetry_Int_Tables_number 166
_symmetry_space_group_name_Hall '-R 3 2"'
loop_
_atom_site_label
_atom_site_fract_x
_atom_site_fract_y
_atom_site_fract_z
Mg1 0.0000 0.0000 0.2407
Ta1 0.0000 0.0000 0.0000
Co1 0.0000 0.0000 0.5000
```

Properties
ΔE to the lowest computed polymorph   295 meV per atom
Size of the total moment   4.32 μB/cell